No. 1
Material: NaPaMoN3
Method: DFT, PBE
State: optimized geometry

As for the formation energy without anion corrections: -768 meV per atom. Its spin magnetization is 0.90 μB/cell. The volume comes out at 219 Å³ per cell.

It has space group P2_1/m (No. 11), with a = 7.043 Å, b = 3.539 Å, c = 8.964 Å, α = 90.00°, β = 101.52° and γ = 90.00°. The asymmetric unit holds Na at (0.161, 0.250, 0.136), Pa at (0.347, 0.750, 0.849), Mo at (0.038, 0.250, 0.613), N at (0.128, 0.250, 0.841), N at (0.169, 0.750, 0.590) and N at (0.446, 0.750, 0.107).

***

No. 2
Material: NaPm2MoN4
Method: DFT, PBE
State: optimized geometry

As for the formation energy without anion corrections: -839 meV per atom. Its spin magnetization is 0.00 μB/cell. The volume comes out at 544 Å³ per cell.

It has space group Fmm2 (No. 42), with a = 8.197 Å, b = 8.211 Å, c = 8.078 Å, α = 90.00°, β = 90.00° and γ = 90.00°. The asymmetric unit holds Na at (0.000, 0.000, 0.000), Pm at (0.250, 0.250, 0.250), Mo at (0.000, 0.000, 0.500), N at (0.000, 0.207, 0.391) and N at (0.207, 0.000, 0.611).